Record 1
First-principles (GGA-PBE) data for an optimized crystal structure of ReP2RhS, as listed in the Alexandria database. Values from VASP.

## Properties
The calculation puts the formation energy without anion corrections at 123.8 kJ/mol of atoms. As for the energy above the most stable polymorph in this dataset: 2.01 eV per formula unit.

Cell and atoms, written as Quantum ESPRESSO input:
```
&SYSTEM
  ibrav = 0, nat = 5, ntyp = 4
/
ATOMIC_SPECIES
Re 186.21 Re.upf
P 30.97 P.upf
Rh 102.91 Rh.upf
S 32.06 S.upf
CELL_PARAMETERS angstrom
4.466 0.000 0.000
0.000 4.466 0.000
0.000 0.000 4.680
ATOMIC_POSITIONS crystal
Re 0.000 0.000 0.000
P 0.000 0.500 0.500
P 0.500 0.000 0.500
Rh 0.500 0.500 0.500
S 0.500 0.500 0.000
```

***

Record 2
First-principles (GGA-PBE) data for an optimized crystal structure of Tb4PrTm, as listed in the Alexandria database. Values from VASP.

## Properties
As for the energy above the most stable polymorph in this dataset: 0.43 eV per formula unit. The calculation puts the energy relative to the elements at 0.267 eV/atom.

Cell and atoms, written as Quantum ESPRESSO input:
```
&SYSTEM
  ibrav = 0, nat = 6, ntyp = 3
/
ATOMIC_SPECIES
Tb 158.93 Tb.upf
Pr 140.91 Pr.upf
Tm 168.93 Tm.upf
CELL_PARAMETERS angstrom
0.000 4.667 4.667
4.667 0.000 4.667
4.667 4.667 0.000
ATOMIC_POSITIONS crystal
Tb 0.125 0.125 0.125
Tb 0.125 0.125 0.624
Tb 0.125 0.624 0.125
Tb 0.624 0.125 0.125
Pr 0.750 0.750 0.750
Tm 0.500 0.500 0.500
```

***

Record 3
First-principles (GGA-PBE) data for an optimized crystal structure of TbThGa6, as listed in the Alexandria database. Values from VASP.

## Properties
The calculation puts the energy relative to the elements at -0.535 eV/atom.

Cell and atoms, written as Quantum ESPRESSO input:
```
&SYSTEM
  ibrav = 0, nat = 8, ntyp = 3
/
ATOMIC_SPECIES
Tb 158.93 Tb.upf
Th 232.04 Th.upf
Ga 69.72 Ga.upf
CELL_PARAMETERS angstrom
6.376 0.000 0.000
-3.188 5.522 0.000
0.000 0.000 4.620
ATOMIC_POSITIONS crystal
Tb 0.000 0.000 0.000
Th 0.667 0.333 0.500
Ga 0.048 0.524 0.000
Ga 0.187 0.373 0.500
Ga 0.187 0.813 0.500
Ga 0.476 0.524 0.000
Ga 0.476 0.952 0.000
Ga 0.627 0.813 0.500
```

***

Record 4
First-principles (GGA-PBE) data for an optimized crystal structure of SrTlO2F, as listed in the Alexandria database. Values from VASP.

## Properties
The calculation puts the formation energy without anion corrections at -166.0 kJ/mol of atoms.

Cell and atoms, written as Quantum ESPRESSO input:
```
&SYSTEM
  ibrav = 0, nat = 5, ntyp = 4
/
ATOMIC_SPECIES
Sr 87.62 Sr.upf
Tl 204.38 Tl.upf
O 16.00 O.upf
F 19.00 F.upf
CELL_PARAMETERS angstrom
4.344 0.000 0.000
0.000 4.344 0.000
0.000 0.000 4.496
ATOMIC_POSITIONS crystal
Sr 0.000 0.000 0.000
Tl 0.500 0.500 0.500
O 0.000 0.500 0.500
O 0.500 0.000 0.500
F 0.500 0.500 0.000
```

***

Record 5
First-principles (GGA-PBE) data for an optimized crystal structure of Sc2MnTe4, as listed in the Alexandria database. Values from VASP.

## Properties
The calculation puts the formation energy without anion corrections at -38.3 kJ/mol of atoms. As for the energy above the most stable polymorph in this dataset: 3.56 eV per formula unit.

Cell and atoms, written as Quantum ESPRESSO input:
```
&SYSTEM
  ibrav = 0, nat = 14, ntyp = 3
/
ATOMIC_SPECIES
Sc 44.96 Sc.upf
Mn 54.94 Mn.upf
Te 127.60 Te.upf
CELL_PARAMETERS angstrom
5.315 0.000 0.000
0.000 5.315 0.000
0.000 0.000 14.536
ATOMIC_POSITIONS crystal
Sc 0.000 0.000 0.117
Sc 0.000 0.000 0.883
Sc 0.500 0.500 0.383
Sc 0.500 0.500 0.617
Mn 0.000 0.000 0.500
Mn 0.500 0.500 0.000
Te 0.000 0.000 0.305
Te 0.000 0.000 0.695
Te 0.000 0.500 0.000
Te 0.000 0.500 0.500
Te 0.500 0.000 0.000
Te 0.500 0.000 0.500
Te 0.500 0.500 0.195
Te 0.500 0.500 0.805
```

***

Record 6
First-principles (GGA-PBE) data for an optimized crystal structure of Sr2MnSi3Pt4, as listed in the Alexandria database. Values from VASP.

## Properties
The calculation puts the formation energy without anion corrections at -78.6 kJ/mol of atoms.

Cell and atoms, written as Quantum ESPRESSO input:
```
&SYSTEM
  ibrav = 0, nat = 10, ntyp = 4
/
ATOMIC_SPECIES
Sr 87.62 Sr.upf
Mn 54.94 Mn.upf
Si 28.09 Si.upf
Pt 195.08 Pt.upf
CELL_PARAMETERS angstrom
4.332 0.000 0.000
0.000 4.332 0.000
0.000 0.000 10.122
ATOMIC_POSITIONS crystal
Sr 0.000 0.500 0.249
Sr 0.500 0.000 0.751
Mn 0.500 0.500 0.000
Si 0.000 0.000 0.000
Si 0.000 0.500 0.622
Si 0.500 0.000 0.378
Pt 0.000 0.000 0.500
Pt 0.000 0.500 0.863
Pt 0.500 0.000 0.137
Pt 0.500 0.500 0.500
```

***

Record 7
First-principles (GGA-PBE) data for an optimized crystal structure of Ba2ThGeSe5, as listed in the Alexandria database. Values from VASP.

## Properties
The calculation puts the formation energy without anion corrections at -146.6 kJ/mol of atoms.

Cell and atoms, written as Quantum ESPRESSO input:
```
&SYSTEM
  ibrav = 0, nat = 18, ntyp = 4
/
ATOMIC_SPECIES
Ba 137.33 Ba.upf
Th 232.04 Th.upf
Ge 72.64 Ge.upf
Se 78.96 Se.upf
CELL_PARAMETERS angstrom
2.243 -9.396 0.000
2.243 9.396 0.000
0.000 0.000 13.827
ATOMIC_POSITIONS crystal
Ba 0.099 0.901 0.500
Ba 0.127 0.873 0.136
Ba 0.873 0.127 0.636
Ba 0.901 0.099 0.000
Th 0.212 0.788 0.850
Th 0.788 0.212 0.350
Ge 0.454 0.546 0.276
Ge 0.546 0.454 0.776
Se 0.064 0.936 0.888
Se 0.276 0.724 0.490
Se 0.318 0.682 0.214
Se 0.364 0.636 0.822
Se 0.496 0.504 0.595
Se 0.504 0.496 0.095
Se 0.636 0.364 0.322
Se 0.682 0.318 0.714
Se 0.724 0.276 0.990
Se 0.936 0.064 0.388
```

***

Record 8
First-principles (GGA-PBE) data for an optimized crystal structure of KMnSb2, as listed in the Alexandria database. Values from VASP.

## Properties
The calculation puts the formation energy without anion corrections at -1.2 kJ/mol of atoms. As for the energy above the most stable polymorph in this dataset: 0.57 eV per formula unit.

Cell and atoms, written as Quantum ESPRESSO input:
```
&SYSTEM
  ibrav = 0, nat = 4, ntyp = 3
/
ATOMIC_SPECIES
K 39.10 K.upf
Mn 54.94 Mn.upf
Sb 121.76 Sb.upf
CELL_PARAMETERS angstrom
3.331 0.000 0.000
0.000 3.331 0.000
0.000 0.000 8.700
ATOMIC_POSITIONS crystal
K 0.000 0.000 0.000
Mn 0.000 0.000 0.500
Sb 0.500 0.500 0.319
Sb 0.500 0.500 0.681
```

***

Record 9
First-principles (GGA-PBE) data for an optimized crystal structure of NaTe2F, as listed in the Alexandria database. Values from VASP.

## Properties
The calculation puts the formation energy without anion corrections at -91.1 kJ/mol of atoms. As for the energy above the most stable polymorph in this dataset: 0.00 eV per formula unit.

Cell and atoms, written as Quantum ESPRESSO input:
```
&SYSTEM
  ibrav = 0, nat = 16, ntyp = 3
/
ATOMIC_SPECIES
Na 22.99 Na.upf
Te 127.60 Te.upf
F 19.00 F.upf
CELL_PARAMETERS angstrom
11.847 0.000 0.000
0.000 11.847 0.000
0.000 0.000 4.321
ATOMIC_POSITIONS crystal
Na 0.000 0.000 0.000
Na 0.000 0.500 0.250
Na 0.500 0.000 0.750
Na 0.500 0.500 0.500
Te 0.178 0.250 0.625
Te 0.250 0.678 0.875
Te 0.250 0.822 0.375
Te 0.322 0.250 0.125
Te 0.678 0.750 0.125
Te 0.750 0.178 0.375
Te 0.750 0.322 0.875
Te 0.822 0.750 0.625
F 0.000 0.000 0.500
F 0.000 0.500 0.750
F 0.500 0.000 0.250
F 0.500 0.500 0.000
```

***

Record 10
First-principles (GGA-PBE) data for an optimized crystal structure of PrDyScAg, as listed in the Alexandria database. Values from VASP.

## Properties
As for the energy above the most stable polymorph in this dataset: 0.00 eV per formula unit. The calculation puts the energy relative to the elements at -0.104 eV/atom.

Cell and atoms, written as Quantum ESPRESSO input:
```
&SYSTEM
  ibrav = 0, nat = 4, ntyp = 4
/
ATOMIC_SPECIES
Pr 140.91 Pr.upf
Dy 162.50 Dy.upf
Sc 44.96 Sc.upf
Ag 107.87 Ag.upf
CELL_PARAMETERS angstrom
3.579 0.000 0.000
0.000 3.579 0.000
0.000 0.000 8.437
ATOMIC_POSITIONS crystal
Pr 0.000 0.000 0.000
Dy 0.500 0.500 0.690
Sc 0.500 0.500 0.283
Ag 0.000 0.000 0.466
```

***

Record 11
First-principles (GGA-PBE) data for an optimized crystal structure of ScGaSb2, as listed in the Alexandria database. Values from VASP.

## Properties
The calculation puts the formation energy without anion corrections at -28.1 kJ/mol of atoms.

Cell and atoms, written as Quantum ESPRESSO input:
```
&SYSTEM
  ibrav = 0, nat = 12, ntyp = 3
/
ATOMIC_SPECIES
Sc 44.96 Sc.upf
Ga 69.72 Ga.upf
Sb 121.76 Sb.upf
CELL_PARAMETERS angstrom
3.976 0.000 0.000
-1.988 3.444 0.000
0.000 0.000 22.099
ATOMIC_POSITIONS crystal
Sc 0.000 0.000 0.000
Sc 0.333 0.667 0.667
Sc 0.667 0.333 0.333
Ga 0.000 0.000 0.500
Ga 0.333 0.667 0.167
Ga 0.667 0.333 0.833
Sb 0.000 0.000 0.248
Sb 0.000 0.000 0.752
Sb 0.333 0.667 0.419
Sb 0.333 0.667 0.914
Sb 0.667 0.333 0.086
Sb 0.667 0.333 0.581
```

***

Record 12
First-principles (GGA-PBE) data for an optimized crystal structure of YMg2Ga2, as listed in the Alexandria database. Values from VASP.

## Properties
The calculation puts the energy relative to the elements at -0.245 eV/atom.

Cell and atoms, written as Quantum ESPRESSO input:
```
&SYSTEM
  ibrav = 0, nat = 10, ntyp = 3
/
ATOMIC_SPECIES
Y 88.91 Y.upf
Mg 24.30 Mg.upf
Ga 69.72 Ga.upf
CELL_PARAMETERS angstrom
7.831 0.000 0.000
0.000 7.831 0.000
0.000 0.000 3.581
ATOMIC_POSITIONS crystal
Y 0.000 0.000 0.000
Y 0.500 0.500 0.000
Mg 0.172 0.328 0.500
Mg 0.328 0.828 0.500
Mg 0.672 0.172 0.500
Mg 0.828 0.672 0.500
Ga 0.125 0.625 0.000
Ga 0.375 0.125 0.000
Ga 0.625 0.875 0.000
Ga 0.875 0.375 0.000
```

***

The records above yield magnetization values of 2.10 0.01 0.00 0.00 9.28 3.92 0.00 1.83 0.00 0.00 0.00 0.00 μB per cell, respectively.